No. 1
# Pr6GeSe5 PBE optimized geometry
# formation energy from raw total energies = -1.733 eV per atom
data_Pr6GeSe5
_chemical_formula_sum 'Pr12 Ge2 Se10'
_cell_length_a 7.4146
_cell_length_b 12.8505
_cell_length_c 7.4424
_cell_angle_alpha 90.00
_cell_angle_beta 109.40
_cell_angle_gamma 90.00
_space_group_name_H-M_alt 'C 1 2/m 1'
_space_group_IT_number 12
_space_group_name_Hall '-C 2y'
loop_
_atom_site_label
_atom_site_type_symbol
_atom_site_fract_x
_atom_site_fract_y
_atom_site_fract_z
_atom_site_occupancy
Pr1 Pr 0.2442 0.0000 0.2567 1
Pr2 Pr 0.2441 0.1626 0.7446 1
Ge1 Ge 0.0000 0.0000 0.5000 1
Se1 Se 0.0000 0.1677 0.0000 1
Se2 Se 0.0000 0.3332 0.5000 1
Se3 Se 0.0000 0.5000 0.0000 1



No. 2
# Pr3Ge5Se12 PBE optimized geometry
# formation energy from raw total energies = -0.822 eV per atom
data_Pr3Ge5Se12
_chemical_formula_sum 'Pr24 Ge40 Se96'
_cell_length_a 16.3516
_cell_length_b 16.3516
_cell_length_c 16.3516
_cell_angle_alpha 90.00
_cell_angle_beta 90.00
_cell_angle_gamma 90.00
_space_group_name_H-M_alt 'I a -3 d'
_space_group_IT_number 230
_space_group_name_Hall '-I 4bd 2c 3'
loop_
_atom_site_label
_atom_site_type_symbol
_atom_site_fract_x
_atom_site_fract_y
_atom_site_fract_z
_atom_site_occupancy
Pr1 Pr 0.0000 0.2500 0.1250 1
Ge1 Ge 0.0000 0.0000 0.0000 1
Ge2 Ge 0.0000 0.2500 0.3750 1
Se1 Se 0.0271 0.0608 0.6535 1



No. 3
# PrGeSe PBE optimized geometry
# formation energy from raw total energies = -1.104 eV per atom
data_PrGeSe
_chemical_formula_sum 'Pr8 Ge8 Se8'
_cell_length_a 5.5455
_cell_length_b 6.0603
_cell_length_c 18.5030
_cell_angle_alpha 90.00
_cell_angle_beta 90.00
_cell_angle_gamma 90.00
_space_group_name_H-M_alt 'F m m m'
_space_group_IT_number 69
_space_group_name_Hall '-F 2 2'
loop_
_atom_site_label
_atom_site_type_symbol
_atom_site_fract_x
_atom_site_fract_y
_atom_site_fract_z
_atom_site_occupancy
Pr1 Pr 0.0000 0.0000 0.1397 1
Ge1 Ge 0.0000 0.2020 0.5000 1
Se1 Se 0.0000 0.0000 0.3107 1



No. 4
# Pr5Ge2Se2 PBE optimized geometry
# formation energy from raw total energies = -1.207 eV per atom
data_Pr5Ge2Se2
_chemical_formula_sum 'Pr20 Ge8 Se8'
_cell_length_a 15.2295
_cell_length_b 7.9746
_cell_length_c 8.0536
_cell_angle_alpha 90.00
_cell_angle_beta 90.00
_cell_angle_gamma 90.00
_space_group_name_H-M_alt 'C m c e'
_space_group_IT_number 64
_space_group_name_Hall '-C 2ac 2'
loop_
_atom_site_label
_atom_site_type_symbol
_atom_site_fract_x
_atom_site_fract_y
_atom_site_fract_z
_atom_site_occupancy
Pr1 Pr 0.0000 0.0000 0.0000 1
Pr2 Pr 0.1359 0.1700 0.3347 1
Ge1 Ge 0.0000 0.1274 0.6273 1
Se1 Se 0.1996 0.0000 0.0000 1



No. 5
# PrGe2Se6 PBE optimized geometry
# formation energy from raw total energies = -0.560 eV per atom
data_PrGe2Se6
_chemical_formula_sum 'Pr4 Ge8 Se24'
_cell_length_a 13.1980
_cell_length_b 11.4992
_cell_length_c 6.8323
_cell_angle_alpha 90.00
_cell_angle_beta 109.06
_cell_angle_gamma 90.00
_space_group_name_H-M_alt 'C 1 2/c 1'
_space_group_IT_number 15
_space_group_name_Hall '-C 2yc'
loop_
_atom_site_label
_atom_site_type_symbol
_atom_site_fract_x
_atom_site_fract_y
_atom_site_fract_z
_atom_site_occupancy
Pr1 Pr 0.0000 0.1687 0.2500 1
Ge1 Ge 0.2014 0.4279 0.2172 1
Se1 Se 0.1064 0.0615 0.6760 1
Se2 Se 0.1271 0.2710 0.9925 1
Se3 Se 0.1407 0.3931 0.5088 1



No. 6
# Pr5GeSe4 PBE optimized geometry
# formation energy from raw total energies = -1.706 eV per atom
data_Pr5GeSe4
_chemical_formula_sum 'Pr10 Ge2 Se8'
_cell_length_a 9.6051
_cell_length_b 9.6051
_cell_length_c 6.0452
_cell_angle_alpha 90.00
_cell_angle_beta 90.00
_cell_angle_gamma 90.00
_space_group_name_H-M_alt 'I 4/m'
_space_group_IT_number 87
_space_group_name_Hall '-I 4'
loop_
_atom_site_label
_atom_site_type_symbol
_atom_site_fract_x
_atom_site_fract_y
_atom_site_fract_z
_atom_site_occupancy
Pr1 Pr 0.0000 0.0000 0.0000 1
Pr2 Pr 0.0973 0.7065 0.5000 1
Ge1 Ge 0.0000 0.0000 0.5000 1
Se1 Se 0.0993 0.6991 0.0000 1



No. 7
# Pr8Ge5Se PBE optimized geometry
# formation energy from raw total energies = -0.925 eV per atom
data_Pr8Ge5Se
_chemical_formula_sum 'Pr16 Ge10 Se2'
_cell_length_a 9.2190
_cell_length_b 9.2190
_cell_length_c 9.2106
_cell_angle_alpha 90.00
_cell_angle_beta 90.00
_cell_angle_gamma 90.00
_space_group_name_H-M_alt 'I -4'
_space_group_IT_number 82
_space_group_name_Hall 'I -4'
loop_
_atom_site_label
_atom_site_type_symbol
_atom_site_fract_x
_atom_site_fract_y
_atom_site_fract_z
_atom_site_occupancy
Pr1 Pr 0.0668 0.3149 0.0616 1
Pr2 Pr 0.0687 0.1828 0.6914 1
Ge1 Ge 0.0000 0.0000 0.0000 1
Ge2 Ge 0.1255 0.2486 0.3757 1
Se1 Se 0.0000 0.5000 0.7500 1



No. 8
# Pr6GeSe12 PBE optimized geometry
# formation energy from raw total energies = -1.425 eV per atom
data_Pr6GeSe12
_chemical_formula_sum 'Pr18 Ge3 Se36'
_cell_length_a 12.6503
_cell_length_b 12.6503
_cell_length_c 12.1836
_cell_angle_alpha 90.00
_cell_angle_beta 90.00
_cell_angle_gamma 120.00
_space_group_name_H-M_alt 'R -3'
_space_group_IT_number 148
_space_group_name_Hall '-R 3'
loop_
_atom_site_label
_atom_site_type_symbol
_atom_site_fract_x
_atom_site_fract_y
_atom_site_fract_z
_atom_site_occupancy
Pr1 Pr 0.0513 0.2783 0.1391 1
Ge1 Ge 0.0000 0.0000 0.5000 1
Se1 Se 0.0367 0.2154 0.8990 1
Se2 Se 0.0721 0.2048 0.3840 1



No. 9
# Pr2GeSe3 PBE optimized geometry
# formation energy from raw total energies = -1.218 eV per atom
data_Pr2GeSe3
_chemical_formula_sum 'Pr4 Ge2 Se6'
_cell_length_a 3.8126
_cell_length_b 5.1779
_cell_length_c 16.2141
_cell_angle_alpha 90.00
_cell_angle_beta 90.00
_cell_angle_gamma 90.00
_space_group_name_H-M_alt 'I m m m'
_space_group_IT_number 71
_space_group_name_Hall '-I 2 2'
loop_
_atom_site_label
_atom_site_type_symbol
_atom_site_fract_x
_atom_site_fract_y
_atom_site_fract_z
_atom_site_occupancy
Pr1 Pr 0.0000 0.0000 0.1437 1
Ge1 Ge 0.0000 0.0000 0.5000 1
Se1 Se 0.0000 0.0000 0.3278 1
Se2 Se 0.0000 0.5000 0.5000 1



No. 10
# PrGe6Se8 PBE optimized geometry
# formation energy from raw total energies = -0.425 eV per atom
data_PrGe6Se8
_chemical_formula_sum 'Pr3 Ge18 Se24'
_cell_length_a 9.6706
_cell_length_b 9.6706
_cell_length_c 15.4520
_cell_angle_alpha 90.00
_cell_angle_beta 90.00
_cell_angle_gamma 120.00
_space_group_name_H-M_alt 'R -3'
_space_group_IT_number 148
_space_group_name_Hall '-R 3'
loop_
_atom_site_label
_atom_site_type_symbol
_atom_site_fract_x
_atom_site_fract_y
_atom_site_fract_z
_atom_site_occupancy
Pr1 Pr 0.0000 0.0000 0.0000 1
Ge1 Ge 0.0003 0.2313 0.6370 1
Se1 Se 0.0000 0.0000 0.2759 1
Se2 Se 0.0414 0.4238 0.7611 1



No. 11
# Pr4SnGeSe2 PBE optimized geometry
# formation energy from raw total energies = -1.326 eV per atom
data_Pr4SnGeSe2
_chemical_formula_sum 'Pr4 Sn1 Ge1 Se2'
_cell_length_a 7.5881
_cell_length_b 4.3540
_cell_length_c 7.6060
_cell_angle_alpha 90.00
_cell_angle_beta 109.25
_cell_angle_gamma 90.00
_space_group_name_H-M_alt 'P 1 2/m 1'
_space_group_IT_number 10
_space_group_name_Hall '-P 2y'
loop_
_atom_site_label
_atom_site_type_symbol
_atom_site_fract_x
_atom_site_fract_y
_atom_site_fract_z
_atom_site_occupancy
Pr1 Pr 0.2406 0.0000 0.2454 1
Pr2 Pr 0.2408 0.5000 0.7465 1
Sn1 Sn 0.5000 0.0000 0.0000 1
Ge1 Ge 0.0000 0.5000 0.0000 1
Se1 Se 0.0000 0.0000 0.5000 1
Se2 Se 0.5000 0.5000 0.5000 1



No. 12
# Pr6Ge2TeSe3 PBE optimized geometry
# formation energy from raw total energies = -1.504 eV per atom
data_Pr6Ge2TeSe3
_chemical_formula_sum 'Pr12 Ge4 Te2 Se6'
_cell_length_a 18.9049
_cell_length_b 4.3422
_cell_length_c 8.7413
_cell_angle_alpha 90.00
_cell_angle_beta 102.66
_cell_angle_gamma 90.00
_space_group_name_H-M_alt 'C 1 2/m 1'
_space_group_IT_number 12
_space_group_name_Hall '-C 2y'
loop_
_atom_site_label
_atom_site_type_symbol
_atom_site_fract_x
_atom_site_fract_y
_atom_site_fract_z
_atom_site_occupancy
Pr1 Pr 0.0059 0.0000 0.2684 1
Pr2 Pr 0.1691 0.5000 0.5789 1
Pr3 Pr 0.1724 0.5000 0.1001 1
Ge1 Ge 0.1671 0.0000 0.3343 1
Te1 Te 0.0000 0.5000 0.0000 1
Se1 Se 0.0000 0.5000 0.5000 1
Se2 Se 0.1636 0.0000 0.8355 1



No. 13
# Pr8Ge3Te3Se PBE optimized geometry
# formation energy from raw total energies = -1.192 eV per atom
data_Pr8Ge3Te3Se
_chemical_formula_sum 'Pr24 Ge9 Te9 Se3'
_cell_length_a 8.7603
_cell_length_b 8.7603
_cell_length_c 21.8261
_cell_angle_alpha 90.00
_cell_angle_beta 90.00
_cell_angle_gamma 120.00
_space_group_name_H-M_alt 'R -3 m'
_space_group_IT_number 166
_space_group_name_Hall '-R 3 2"'
loop_
_atom_site_label
_atom_site_type_symbol
_atom_site_fract_x
_atom_site_fract_y
_atom_site_fract_z
_atom_site_occupancy
Pr1 Pr 0.0000 0.0000 0.2422 1
Pr2 Pr 0.0086 0.5043 0.7571 1
Ge1 Ge 0.0000 0.5000 0.5000 1
Te1 Te 0.0000 0.5000 0.0000 1
Se1 Se 0.0000 0.0000 0.5000 1



No. 14
# Pr6Ge3TeSe2 PBE optimized geometry
# formation energy from raw total energies = -1.324 eV per atom
data_Pr6Ge3TeSe2
_chemical_formula_sum 'Pr12 Ge6 Te2 Se4'
_cell_length_a 19.0703
_cell_length_b 4.3541
_cell_length_c 8.7695
_cell_angle_alpha 90.00
_cell_angle_beta 104.00
_cell_angle_gamma 90.00
_space_group_name_H-M_alt 'C 1 2/m 1'
_space_group_IT_number 12
_space_group_name_Hall '-C 2y'
loop_
_atom_site_label
_atom_site_type_symbol
_atom_site_fract_x
_atom_site_fract_y
_atom_site_fract_z
_atom_site_occupancy
Pr1 Pr 0.0010 0.0000 0.2346 1
Pr2 Pr 0.1650 0.5000 0.0888 1
Pr3 Pr 0.1729 0.5000 0.5803 1
Ge1 Ge 0.0000 0.5000 0.0000 1
Ge2 Ge 0.1655 0.0000 0.3319 1
Te1 Te 0.0000 0.5000 0.5000 1
Se1 Se 0.1676 0.0000 0.8345 1



No. 15
# Pr8GeTe4Se3 PBE optimized geometry
# formation energy from raw total energies = -1.573 eV per atom
data_Pr8GeTe4Se3
_chemical_formula_sum 'Pr24 Ge3 Te12 Se9'
_cell_length_a 8.7377
_cell_length_b 8.7377
_cell_length_c 22.1088
_cell_angle_alpha 90.00
_cell_angle_beta 90.00
_cell_angle_gamma 120.00
_space_group_name_H-M_alt 'R -3 m'
_space_group_IT_number 166
_space_group_name_Hall '-R 3 2"'
loop_
_atom_site_label
_atom_site_type_symbol
_atom_site_fract_x
_atom_site_fract_y
_atom_site_fract_z
_atom_site_occupancy
Pr1 Pr 0.0000 0.0000 0.2400 1
Pr2 Pr 0.0054 0.5027 0.2404 1
Ge1 Ge 0.0000 0.0000 0.5000 1
Te1 Te 0.0000 0.0000 0.0000 1
Te2 Te 0.0000 0.5000 0.0000 1
Se1 Se 0.0000 0.5000 0.5000 1



No. 16
# Pr4GeTe2Se PBE optimized geometry
# formation energy from raw total energies = -1.475 eV per atom
data_Pr4GeTe2Se
_chemical_formula_sum 'Pr4 Ge1 Te2 Se1'
_cell_length_a 7.5843
_cell_length_b 4.3923
_cell_length_c 7.8082
_cell_angle_alpha 90.00
_cell_angle_beta 109.05
_cell_angle_gamma 90.00
_space_group_name_H-M_alt 'P 1 2/m 1'
_space_group_IT_number 10
_space_group_name_Hall '-P 2y'
loop_
_atom_site_label
_atom_site_type_symbol
_atom_site_fract_x
_atom_site_fract_y
_atom_site_fract_z
_atom_site_occupancy
Pr1 Pr 0.2362 0.0000 0.2238 1
Pr2 Pr 0.2521 0.5000 0.7767 1
Ge1 Ge 0.0000 0.5000 0.0000 1
Te1 Te 0.0000 0.0000 0.5000 1
Te2 Te 0.5000 0.5000 0.5000 1
Se1 Se 0.5000 0.0000 0.0000 1



No. 17
# Pr4GeTeSe2 PBE optimized geometry
# formation energy from raw total energies = -1.547 eV per atom
data_Pr4GeTeSe2
_chemical_formula_sum 'Pr4 Ge1 Te1 Se2'
_cell_length_a 7.4853
_cell_length_b 4.3500
_cell_length_c 7.6620
_cell_angle_alpha 90.00
_cell_angle_beta 109.34
_cell_angle_gamma 90.00
_space_group_name_H-M_alt 'P 1 2/m 1'
_space_group_IT_number 10
_space_group_name_Hall '-P 2y'
loop_
_atom_site_label
_atom_site_type_symbol
_atom_site_fract_x
_atom_site_fract_y
_atom_site_fract_z
_atom_site_occupancy
Pr1 Pr 0.2423 0.0000 0.2283 1
Pr2 Pr 0.2534 0.5000 0.7652 1
Ge1 Ge 0.5000 0.0000 0.0000 1
Te1 Te 0.5000 0.5000 0.5000 1
Se1 Se 0.0000 0.0000 0.5000 1
Se2 Se 0.0000 0.5000 0.0000 1